The following is a DFT calculation (GGA-PBE) of crystalline In3AgSe at its relaxed geometry.

The space group is Pm-3m (No. 221) and the conventional cell measures 5.643, 5.643 and 5.643 Å, with angles of 90.00, 90.00 and 90.00 degrees. Symmetry generates all atoms from In at (0.000, 0.000, 0.500), Ag at (0.500, 0.500, 0.500) and Se at (0.000, 0.000, 0.000).

For the uncorrected energy, the calculation gives -2.4857 eV/atom. For the density, the calculation gives 4.91 g/cm³. Its density of states at the Fermi level is 2.9 states/eV/cell. The value obtained for the magnetic moment is 0.000 μB/f.u. The energy relative to the elements, uncorrected is 0.4245 eV per atom.



The following is a DFT calculation (GGA-PBE) of crystalline InAgSe2 at its relaxed geometry.

The space group is R-3m (No. 166, hexagonal axes) and the conventional cell measures 4.1028, 4.1028 and 23.7006 Å, with angles of 90.00, 90.00 and 120.00 degrees. Symmetry generates all atoms from In at (0.0000, 0.0000, 0.0000), Ag at (0.0000, 0.0000, 0.5000) and Se at (0.0000, 0.0000, 0.3951).

For the uncorrected energy, the calculation gives -3.4597 eV/atom. For the density, the calculation gives 5.49 g/cm³. Its density of states at the Fermi level is 0.4 states/eV/cell. The value obtained for the magnetic moment is 0.000 μB/f.u. The energy relative to the elements, uncorrected is -0.3200 eV per atom.